Record 1
Below is an optimized crystal structure of Pm2HgPt, with properties calculated at the PBE level.

The structure in POSCAR format:
```
Pm2HgPt
1.0
0.000 3.692 3.692
3.692 0.000 3.692
3.692 3.692 0.000
Pm Hg Pt
2 1 1
Cartesian
1.846 1.846 1.846 Pm
5.538 5.538 5.538 Pm
0.000 0.000 0.000 Hg
3.692 3.692 3.692 Pt
```

Output
E_form = -0.74 eV per atom



Record 2
Below is an optimized crystal structure of HOsS2N, with properties calculated at the PBE level.

The structure in POSCAR format:
```
HOsS2N
1.0
4.430 0.000 0.000
0.000 4.430 0.000
0.000 0.000 2.729
H Os S N
1 1 2 1
Cartesian
0.000 0.000 0.000 H
2.215 2.215 1.364 Os
0.000 2.215 0.000 S
2.215 0.000 0.000 S
0.000 0.000 1.364 N
```



Record 3
Below is an optimized crystal structure of LaMg2Sc, with properties calculated at the PBE level.

The structure in POSCAR format:
```
LaMg2Sc
1.0
-1.887 2.649 5.432
1.887 -2.649 5.432
1.887 2.649 -5.432
La Mg Sc
1 2 1
Cartesian
0.000 0.000 0.000 La
1.887 0.000 2.892 Mg
0.000 2.649 2.540 Mg
0.000 0.000 5.432 Sc
```

Output
E_form = 0.04 eV per atom



Record 4
Below is an optimized crystal structure of Rb3Pu3AlTe8, with properties calculated at the PBE level.

The structure in POSCAR format:
```
Rb3Pu3AlTe8
1.0
4.477 2.585 8.663
-4.477 2.585 8.663
0.000 -5.169 8.663
Rb Pu Al Te
3 3 1 8
Cartesian
-2.238 -1.292 8.663 Rb
-2.238 1.292 17.326 Rb
0.000 2.585 8.663 Rb
-4.477 0.000 12.995 Pu
-2.238 1.292 4.332 Pu
2.238 1.292 4.332 Pu
0.000 0.000 12.995 Al
0.000 0.000 6.058 Te
-2.092 -1.208 14.590 Te
0.000 -2.416 11.400 Te
-2.092 1.208 11.400 Te
2.092 -1.208 14.590 Te
0.000 2.416 14.590 Te
2.092 1.208 11.400 Te
0.000 0.000 19.931 Te
```

Output
Raw formation energy = -13.58 eV per formula unit



Record 5
Below is an optimized crystal structure of ThSnS2, with properties calculated at the PBE level.

The structure in POSCAR format:
```
ThSnS2
1.0
2.022 1.167 8.537
-2.022 1.167 8.537
0.000 -2.335 8.537
Th Sn S
1 1 2
Cartesian
0.000 0.000 0.000 Th
0.000 0.000 12.805 Sn
0.000 0.000 2.641 S
0.000 0.000 22.970 S
```

Output
Raw formation energy = -2.14 eV per formula unit



Record 6
Below is an optimized crystal structure of CeNp4S7, with properties calculated at the PBE level.

The structure in POSCAR format:
```
CeNp4S7
1.0
6.507 -1.945 0.000
6.507 1.945 0.000
-3.013 0.000 11.055
Ce Np S
1 4 7
Cartesian
0.000 0.000 0.000 Ce
0.124 0.000 4.804 Np
0.475 0.000 9.380 Np
3.484 0.000 6.704 Np
9.795 0.000 2.543 Np
-1.110 0.000 7.174 S
1.340 0.000 2.397 S
4.685 0.000 0.881 S
4.781 0.000 4.131 S
5.404 0.000 10.449 S
8.526 0.000 5.251 S
8.701 0.000 8.509 S
```

Output
Raw formation energy = -17.55 eV per formula unit



Record 7
Below is an optimized crystal structure of Pu2CdP, with properties calculated at the PBE level.

The structure in POSCAR format:
```
Pu2CdP
1.0
3.500 0.000 0.000
0.000 3.500 0.000
0.000 0.000 7.640
Pu Cd P
2 1 1
Cartesian
0.000 0.000 1.539 Pu
0.000 0.000 6.101 Pu
1.750 1.750 3.820 Cd
1.750 1.750 0.000 P
```

Output
E_form = -0.52 eV per atom



Record 8
Below is an optimized crystal structure of Dy2Er8Pu, with properties calculated at the PBE level.

The structure in POSCAR format:
```
Dy2Er8Pu
1.0
-2.724 3.899 8.007
2.724 -3.899 8.007
2.724 3.899 -8.007
Dy Er Pu
2 8 1
Cartesian
0.000 0.000 3.174 Dy
0.000 0.000 12.841 Dy
2.724 1.665 -2.162 Er
0.000 1.691 0.000 Er
2.724 0.000 5.332 Er
2.724 1.665 2.162 Er
0.000 2.234 5.845 Er
0.000 3.899 2.675 Er
0.000 6.107 0.000 Er
0.000 2.234 10.170 Er
0.000 0.000 8.007 Pu
```

Output
E_form = 0.12 eV per atom



Record 9
Below is an optimized crystal structure of HfSc2F, with properties calculated at the PBE level.

The structure in POSCAR format:
```
HfSc2F
1.0
1.630 0.941 8.094
-1.630 0.941 8.094
0.000 -1.882 8.094
Hf Sc F
1 2 1
Cartesian
0.000 0.000 0.000 Hf
0.000 0.000 5.648 Sc
0.000 0.000 18.633 Sc
0.000 0.000 12.141 F
```

Output
Raw formation energy = -4.52 eV per formula unit



Record 10
Below is an optimized crystal structure of TlZn3Sb3, with properties calculated at the PBE level.

The structure in POSCAR format:
```
TlZn3Sb3
1.0
3.698 2.135 8.356
-3.698 2.135 8.356
0.000 -4.270 8.356
Tl Zn Sb
2 6 6
Cartesian
0.000 0.000 4.112 Tl
0.000 0.000 20.957 Tl
-1.238 -2.213 9.155 Zn
-2.535 -0.034 15.914 Zn
-1.297 2.179 9.155 Zn
1.297 -2.179 15.914 Zn
2.535 0.034 9.155 Zn
1.238 2.213 15.914 Zn
-2.400 -0.031 10.315 Sb
-1.173 -2.094 14.755 Sb
1.227 -2.063 10.315 Sb
-1.227 2.063 14.755 Sb
1.173 2.094 10.315 Sb
2.400 0.031 14.755 Sb
```

Output
Raw formation energy = 0.25 eV per formula unit



Record 11
Below is an optimized crystal structure of NpUNiS3, with properties calculated at the PBE level.

The structure in POSCAR format:
```
NpUNiS3
1.0
8.032 0.000 0.000
0.000 3.721 0.000
-1.626 0.000 7.940
Np U Ni S
2 2 2 6
Cartesian
0.941 0.930 1.748 Np
5.464 2.790 6.191 Np
1.377 2.790 6.564 U
5.029 0.930 1.376 U
-0.242 0.930 4.667 Ni
6.647 2.790 3.273 Ni
-0.589 0.930 6.872 S
0.874 2.790 3.932 S
3.015 2.790 1.390 S
3.391 0.930 6.550 S
5.532 0.930 4.007 S
6.994 2.790 1.068 S
```

Output
Raw formation energy = -7.02 eV per formula unit



Record 12
Below is an optimized crystal structure of CsLiTe2Au, with properties calculated at the PBE level.

The structure in POSCAR format:
```
CsLiTe2Au
1.0
3.934 -6.371 0.000
3.934 6.371 0.000
0.000 0.000 7.176
Cs Li Te Au
2 2 4 2
Cartesian
3.934 3.185 5.556 Cs
3.934 -3.185 1.620 Cs
1.967 0.000 3.588 Li
5.900 0.000 3.588 Li
3.934 4.956 2.198 Te
3.934 1.415 2.198 Te
3.934 -1.415 4.978 Te
3.934 -4.956 4.978 Te
0.000 0.000 0.000 Au
3.934 0.000 0.000 Au
```

Output
Raw formation energy = -3.19 eV per formula unit



Number 1: VASP energy -4.70 eV/atom. Number 2: VASP energy -4.82 eV/atom. Number 3: VASP energy -3.57 eV/atom. Number 4: VASP energy -5.89 eV/atom. Number 5: VASP energy -5.45 eV/atom. Number 6: VASP energy -8.68 eV/atom. Number 7: VASP energy -9.26 eV/atom. Number 8: VASP energy -5.33 eV/atom. Number 9: VASP energy -7.25 eV/atom. Number 10: VASP energy -2.62 eV/atom. Number 11: VASP energy -8.24 eV/atom. Number 12: VASP energy -3.10 eV/atom.